No. 1
VASP calculation (PBE-GGA) on an optimized crystal structure of Na3YTm2O6.

Properties
Magnetization (μB/f.u.): 0.000
Raw formation energy (eV per atom): -2.838

Lattice parameters (Å, degrees): 5.868 5.868 5.905 99.53 99.53 120.00
Atoms (fractional coordinates):
Na1 0.000 0.000 0.000
Na2 0.332 0.668 0.000
Na3 0.668 0.332 0.000
Y1 0.500 0.500 0.500
Tm1 0.167 0.833 0.500
Tm2 0.833 0.167 0.500
O1 0.092 0.430 0.291
O2 0.232 0.232 0.710
O3 0.430 0.092 0.291
O4 0.570 0.908 0.709
O5 0.768 0.768 0.290
O6 0.908 0.570 0.709

No. 2
VASP calculation (PBE-GGA) on an optimized crystal structure of Na3Y2TmO6.

Properties
Magnetization (μB/f.u.): 0.000
Raw formation energy (eV per atom): -2.807

Lattice parameters (Å, degrees): 5.908 5.908 5.917 99.58 99.58 120.00
Atoms (fractional coordinates):
Na1 0.000 0.000 0.000
Na2 0.335 0.665 0.000
Na3 0.665 0.335 0.000
Y1 0.167 0.833 0.500
Y2 0.833 0.167 0.500
Tm1 0.500 0.500 0.500
O1 0.101 0.430 0.289
O2 0.242 0.242 0.710
O3 0.430 0.101 0.289
O4 0.570 0.899 0.711
O5 0.758 0.758 0.290
O6 0.899 0.570 0.711

No. 3
VASP calculation (PBE-GGA) on an optimized crystal structure of Na2TmZnO4.

Properties
Magnetization (μB/f.u.): 1.054
Raw formation energy (eV per atom): -1.956

Lattice parameters (Å, degrees): 5.625 3.234 5.936 90.00 110.52 90.00
Atoms (fractional coordinates):
Na1 0.000 0.000 0.000
Na2 0.500 0.500 0.000
Tm1 0.000 0.500 0.500
Zn1 0.500 0.000 0.500
O1 0.227 0.000 0.729
O2 0.284 0.500 0.304
O3 0.716 0.500 0.696
O4 0.773 0.000 0.271

No. 4
VASP calculation (PBE-GGA) on an optimized crystal structure of Na3Tm2ZrO6.

Properties
Magnetization (μB/f.u.): 0.000
Raw formation energy (eV per atom): -2.676

Lattice parameters (Å, degrees): 5.736 5.736 5.921 99.30 99.30 119.98
Atoms (fractional coordinates):
Na1 0.000 0.000 0.000
Na2 0.334 0.666 0.000
Na3 0.666 0.334 0.000
Tm1 0.167 0.833 0.500
Tm2 0.833 0.167 0.500
Zr1 0.500 0.500 0.500
O1 0.103 0.429 0.287
O2 0.245 0.245 0.712
O3 0.429 0.103 0.287
O4 0.571 0.897 0.713
O5 0.755 0.755 0.288
O6 0.897 0.571 0.713